Density functional theory data (GGA-PBE) for a geometry-optimized Ni2PtRh4 structure.

Calculated values
ΔE_f (kJ per mole of atoms): 18.37
Mass density (g/cm3): 12.0
Calculated volume (Å³/atom): 14.4
Raw total energy (eV/cell): -45.68

Cell lengths 9.8904, 9.8904, 3.7950 Å; angles 90.00, 90.00, 164.30 degrees
Last column: nearest neighbours and their distance in Å.
Positions (direct):
Ni1 0.2012 0.7988 0.0000  2 Ni 2.34, 5 Rh 2.51-2.58
Ni2 0.7988 0.2012 0.0000  2 Ni 2.34, 5 Rh 2.51-2.58
Pt1 0.5000 0.5000 0.5000  2 Pt 2.70, 10 Rh 2.74-2.83
Rh1 0.0732 0.9268 0.0000  1 Ni 2.51, 6 Rh 2.70-2.72, 4 Pt 2.74
Rh2 0.3556 0.6444 0.5000  4 Ni 2.58, 6 Rh 2.70-2.72, 1 Pt 2.83
Rh3 0.6444 0.3556 0.5000  4 Ni 2.58, 6 Rh 2.70-2.72, 1 Pt 2.83
Rh4 0.9268 0.0732 0.0000  1 Ni 2.51, 6 Rh 2.70-2.72, 4 Pt 2.74